! Tc2NiBr | Alexandria | PBE-GGA | relaxed; values from VASP
&SYSTEM
  ibrav = 0, nat = 4, ntyp = 3
/
ATOMIC_SPECIES
Tc 98.00 Tc.upf
Ni 58.69 Ni.upf
Br 79.90 Br.upf
ATOMIC_POSITIONS angstrom
Tc 0.000 0.000 2.148
Tc 0.000 0.000 7.252
Ni 0.000 2.146 0.000
Br 1.487 0.000 0.000
CELL_PARAMETERS angstrom
-1.487 2.146 4.700
1.487 -2.146 4.700
1.487 2.146 -4.700
! E_tot in eV per cell: -24.8
! N(E_F) in states/eV/f.u.: 5.77
! Raw formation energy in eV per atom: 0.835
! Volume in Å³ per cell: 60.0
! Symmetry: Immm, No. 71